(1)
The following is a GGA-PBE calculation of a relaxed CdTcSn2Hg crystal, from Alexandria.

The space group is P4/mmm (No. 123) and the conventional cell measures 5.1444, 5.1444 and 5.4052 Å, with angles of 90.00, 90.00 and 90.00 degrees. Symmetry generates all atoms from Cd at (0.0000, 0.0000, 0.0000), Tc at (0.0000, 0.0000, 0.5000), Sn at (0.0000, 0.5000, 0.5000) and Hg at (0.5000, 0.5000, 0.0000).

Its total energy is -3.7075 eV/atom. The value obtained for the magnetic moment is 0.00 μB/f.u. The value obtained for the volume is 143.05 Å³ per cell. As for the formation energy: 0.210 eV/atom.

---

(2)
The following is a GGA-PBE calculation of a relaxed ReBr2 crystal, from Alexandria.

The space group is Cm (No. 8) and the conventional cell measures 15.3139, 3.4461 and 7.7833 Å, with angles of 90.00, 112.07 and 90.00 degrees. Symmetry generates all atoms from Re at (0.0000, 0.0000, 0.0000), Re at (0.0012, 0.5000, 0.2095), Br at (0.1068, 0.5000, 0.9070), Br at (0.1557, 0.5000, 0.4552), Br at (0.3457, 0.0000, 0.8913) and Br at (0.4200, 0.5000, 0.3749).

Its total energy is -5.1590 eV/atom. Its uncorrected formation energy is 0.11 eV per atom. The value obtained for the magnetic moment is 0.00 μB/f.u. The polymorph energy (0 for the lowest one) comes out at 101 meV per atom. The value obtained for the volume is 380.65 Å³ per cell.

---

(3)
The following is a GGA-PBE calculation of a relaxed CsZnHgSe2 crystal, from Alexandria.

The space group is P2/c (No. 13) and the conventional cell measures 8.0000, 5.8236 and 6.7267 Å, with angles of 90.00, 99.39 and 90.00 degrees. Symmetry generates all atoms from Cs at (0.0000, 0.2356, 0.2500), Zn at (0.5000, 0.5000, 0.0000), Hg at (0.5000, 0.0871, 0.2500) and Se at (0.2769, 0.2737, 0.8250).

Its total energy is -2.3900 eV/atom. Its uncorrected formation energy is -0.51 eV per atom. The value obtained for the magnetic moment is 0.00 μB/f.u. The value obtained for the volume is 309.19 Å³ per cell.